1.
Compound: Na2CeCd
Source: Alexandria
Functional: PBE
Structure: optimized geometry

The calculation puts the magnetic moment at 0.1847 μB per atom. As for the energy relative to the elements: 0.17 eV per atom.

Cell lengths 3.1969, 3.1969, 37.1524 Å; angles 90.00, 90.00, 120.00 degrees
Space group R-3m (No. 166, hexagonal axes)
Inequivalent atoms, fractional coordinates:
Na (0.0000, 0.0000, 0.0913)
Ce (0.0000, 0.0000, 0.0000)
Cd (0.0000, 0.0000, 0.5000)

2.
Compound: Sb3ClO
Source: Alexandria
Functional: PBE
Structure: optimized geometry

As for the energy above the most stable polymorph in this dataset: 0.0 meV per atom. The calculation puts the magnetic moment at 0.0000 μB per atom. For the formation energy (no corrections), the calculation gives 0.65 eV/f.u.

Cell lengths 4.866, 4.866, 4.866 Å; angles 90.00, 90.00, 90.00 degrees
Space group Pm-3m (No. 221)
Inequivalent atoms, fractional coordinates:
Sb (0.000, 0.000, 0.500)
Cl (0.500, 0.500, 0.500)
O (0.000, 0.000, 0.000)

3.
Compound: LiMgTl2C
Source: Alexandria
Functional: PBE
Structure: optimized geometry

The calculation puts the magnetic moment at 0.2700 μB per atom. As for the energy relative to the elements: 1.41 eV per atom.

Cell lengths 4.959, 4.959, 5.001 Å; angles 90.00, 90.00, 90.00 degrees
Space group P4/mmm (No. 123)
Inequivalent atoms, fractional coordinates:
Li (0.000, 0.000, 0.000)
Mg (0.000, 0.000, 0.500)
Tl (0.000, 0.500, 0.000)
C (0.500, 0.500, 0.500)

Please write out number 2 again, unchanged.
Compound: Sb3ClO
Source: Alexandria
Functional: PBE
Structure: optimized geometry

As for the energy above the most stable polymorph in this dataset: 0.0 meV per atom. The calculation puts the magnetic moment at 0.0000 μB per atom. For the formation energy (no corrections), the calculation gives 0.65 eV/f.u.

Cell lengths 4.866, 4.866, 4.866 Å; angles 90.00, 90.00, 90.00 degrees
Space group Pm-3m (No. 221)
Inequivalent atoms, fractional coordinates:
Sb (0.000, 0.000, 0.500)
Cl (0.500, 0.500, 0.500)
O (0.000, 0.000, 0.000)

Which value of magnetic moment does entry 1 give? 0.1847 μB per atom

Which formula does entry 1 have? Na2CeCd